Entry from Alexandria: a relaxed structure of Zn2GaPt (PBE-GGA).

Calculated values
V: 72.5 Å³/f.u.
final energy: -3.029 eV per atom
magnetic moment: 0.00 μB per atom

a = 7.6501 Å, b = 7.6501 Å, c = 4.9586 Å
α = 90.00°, β = 90.00°, γ = 90.00°
Space group I-42d (No. 122)
Inequivalent atoms, fractional coordinates:
Zn1 0.2065 0.7500 0.1250
Ga1 0.0000 0.0000 0.5000
Pt1 0.0000 0.0000 0.0000